A geometry-optimized MnGaHRu2 structure, computed with GGA-PBE.

Properties
raw total energy	-6.919	eV per atom
magnetic moment	0.67	μB/atom

Cell: 4.0381 4.0381 3.5184 Å, 90.00 90.00 90.00°
Space group P4/mmm (No. 123)
Symmetry-distinct sites (fractional):
Mn (0.0000, 0.0000, 0.0000) x1
Ga (0.5000, 0.5000, 0.0000) x1
H (0.0000, 0.0000, 0.5000) x1
Ru (0.0000, 0.5000, 0.5000) x2